A geometry-optimized KFeIr2 structure. Source: Alexandria via LeMat-Bulk, functional PBE.

Crystal system = tetragonal
Excess energy over the best structure of this formula in the dataset = 137 meV per atom
Energy of formation = 0.577 eV/atom
Symmetry = P4mm

Unit cell a=2.781 b=2.781 c=9.371 alpha=90.00 beta=90.00 gamma=90.00
Sites, in units of the cell vectors:
Fe: 0.500 0.500 0.815
Ir: 0.000 0.000 0.002
Ir: 0.500 0.500 0.197
K: 0.000 0.000 0.486